The following is a PBE calculation of crystalline Ho3Al12Au5 at its relaxed geometry, from Alexandria via LeMat-Bulk.

## Properties
The calculation puts the magnetization at 0.00 μB/cell. As for the density of states at the Fermi level: 0.642 states/eV/atom. As for the formation energy: 98 meV per atom. The electronic total energy is -3.6538 eV per atom.

a b c (Å): 15.8542 15.8542 15.8542
angles (deg): 90.00 90.00 90.00
Last column: nearest neighbours and their distance in Å.
Space group Ia-3d (No. 230)
One atom of each set of equivalent atoms:
Ho 0.0000 0.2500 0.1250 x24  4 Al 2.98
Al 0.0549 0.0705 0.6302 x96  2 Au 2.47-2.50
Au 0.0000 0.0000 0.0000 x16  6 Al 2.50
Au 0.0000 0.2500 0.3750 x24  4 Al 2.47

---

The following is a PBE calculation of crystalline Ho2Al5Au3 at its relaxed geometry, from Alexandria via LeMat-Bulk.

## Properties
The calculation puts the magnetization at 0.00 μB/cell. As for the density of states at the Fermi level: 0.383 states/eV/atom. For the energy above the most stable polymorph in this dataset, the calculation gives 0.000 eV per atom. As for the formation energy: -656 meV per atom. The electronic total energy is -4.4265 eV per atom.

a b c (Å): 4.3547 25.1529 6.9775
angles (deg): 90.00 90.00 90.00
Last column: nearest neighbours and their distance in Å.
Space group Cmc2_1 (No. 36)
One atom of each set of equivalent atoms:
Ho 0.0000 0.0185 0.0000 x4  5 Au 2.91-3.17, 4 Al 3.06-3.23
Ho 0.0000 0.3261 0.0164 x4  9 Al 3.06-3.32, 4 Au 3.14-3.33
Al 0.0000 0.1024 0.3495 x4  3 Au 2.58-2.73, 1 Al 2.79
Al 0.0000 0.2075 0.8284 x4  4 Au 2.56-2.66, 1 Al 2.81
Al 0.0000 0.2082 0.2312 x4  3 Au 2.62-2.68, 2 Al 2.79-2.81
Al 0.0000 0.3789 0.4948 x4  4 Au 2.64-2.83, 1 Al 2.84
Al 0.0000 0.4472 0.1712 x4  4 Au 2.63-2.71, 1 Al 2.84
Au 0.0000 0.1087 0.7395 x4  6 Al 2.56-2.83
Au 0.0000 0.2743 0.5320 x4  7 Al 2.62-2.68
Au 0.0000 0.4497 0.7834 x4  5 Al 2.58-2.71

---

Q: Which formula does entry 1 have?
A: Ho3Al12Au5